Density functional theory data (PBE-GGA) for Mg2Ir after structural relaxation.

## Properties
**Calculated density**: 8.1 g cm⁻³
**Total energy**: -3.656 eV per atom
**SG**: Fd-3m, No. 227

Cell lengths 5.1858, 5.1858, 5.1858 Å; angles 60.00, 60.00, 60.00 degrees
With the nearest neighbours (Å) after each atom.
Atoms (fractional coordinates):
Ir  0.2500  0.2500  0.2500  12 Mg 3.04, 4 Ir 3.18
Ir  0.0000  0.0000  0.0000  12 Mg 3.04, 4 Ir 3.18
Mg  0.6250  0.6250  0.6250  6 Mg 2.59
Mg  0.6250  0.1250  0.6250  6 Mg 2.59
Mg  0.1250  0.6250  0.6250  6 Mg 2.59
Mg  0.6250  0.6250  0.1250  6 Mg 2.59

=====

Density functional theory data (PBE-GGA) for Pm2YSe3 after structural relaxation.

## Properties
**Calculated density**: 6.7 g cm⁻³
**Total energy**: -6.214 eV per atom
**SG**: Immm, No. 71

Cell lengths 7.1898, 7.1898, 7.1898 Å; angles 146.41, 131.81, 60.02 degrees
With the nearest neighbours (Å) after each atom.
Atoms (fractional coordinates):
Y  0.0000  0.0000  0.0000  6 Se 2.88-2.94
Pm  0.3292  0.3292  0.0000  6 Se 2.94-2.97
Pm  0.6708  0.6708  0.0000  6 Se 2.94-2.97
Se  0.1602  0.6602  0.5000  2 Y 2.88, 4 Pm 2.94-2.96
Se  0.5000  0.0000  0.5000  2 Y 2.94, 4 Pm 2.97
Se  0.8398  0.3398  0.5000  2 Y 2.88, 4 Pm 2.94-2.96

=====

Density functional theory data (PBE-GGA) for NdBe after structural relaxation.

## Properties
**Energy above the lowest structure with this stoichiometry**: 604 meV/atom
**Calculated density**: 3.9 g cm⁻³
**Total energy**: -3.059 eV per atom
**SG**: F-43m, No. 216

Cell lengths 4.5070, 4.5070, 4.5070 Å; angles 60.00, 60.00, 60.00 degrees
With the nearest neighbours (Å) after each atom.
Atoms (fractional coordinates):
Be  0.0000  0.0000  0.0000  4 Nd 2.76
Nd  0.2500  0.2500  0.2500  4 Be 2.76

=====

Density functional theory data (PBE-GGA) for HoTmFeCo2 after structural relaxation.

## Properties
**Calculated density**: 9.9 g cm⁻³
**Total energy**: -6.528 eV per atom
**E_form**: -103 kJ/mol of formula units
**SG**: Imm2, No. 44

Cell lengths 5.3030, 5.3030, 5.3030 Å; angles 136.76, 121.30, 75.64 degrees
With the nearest neighbours (Å) after each atom.
Atoms (fractional coordinates):
Fe  0.9998  0.9998  0.0000  4 Co 2.39
Ho  0.2991  0.7991  0.5000  6 Co 2.85-2.86, 4 Fe 3.10-3.18
Co  0.2638  0.5003  0.7635  2 Fe 2.39, 1 Co 2.46
Co  0.7368  0.5003  0.2365  2 Fe 2.39, 1 Co 2.46
Tm  0.7006  0.2006  0.5000  6 Co 2.85-2.86, 4 Fe 3.10-3.18